## P
Entry from the Alexandria database: a relaxed BeZnSe2 crystal (GGA-PBE).

Computed properties:
The value obtained for the calculated density is 5.65 g cm⁻³.

Cell: 4.5881 4.5881 4.5881 Å, 60.00 60.00 60.00°
Closest atoms and distances in Å follow each position.
Fractional coordinates of all 4 atoms:
Be1 0.0000 0.0000 0.0000  8 Se 2.81
Zn1 0.5000 0.5000 0.5000  8 Se 2.81
Se1 0.2500 0.2500 0.2500  4 Zn 2.81, 4 Be 2.81
Se2 0.7500 0.7500 0.7500  4 Zn 2.81, 4 Be 2.81



## Q
Entry from the Alexandria database: a relaxed BeZnSe2 crystal (GGA-PBE).

Computed properties:
The value obtained for the calculated density is 4.21 g cm⁻³.

Cell: 10.8097 10.8097 4.8252 Å, 90.00 90.00 161.03°
Closest atoms and distances in Å follow each position.
Fractional coordinates of all 8 atoms:
Be1 0.1466 0.8534 0.7500  3 Se 2.16-2.17
Be2 0.8534 0.1466 0.2500  3 Se 2.16-2.17
Zn1 0.3716 0.6284 0.7500  3 Se 2.56-2.63
Zn2 0.6284 0.3716 0.2500  3 Se 2.56-2.63
Se1 0.2481 0.7519 0.7500  1 Be 2.16
Se2 0.4114 0.5886 0.2500  2 Be 2.17
Se3 0.5886 0.4114 0.7500  2 Be 2.17
Se4 0.7519 0.2481 0.2500  1 Be 2.16



Of the structures shown above, Q is the most stable.